Entry 1:
! V2TeAs PBE optimized geometry; values from VASP
! - Formation energy from raw total energies: -2.65 kcal/mol of atoms
! - E_tot: -79.46 eV per cell
! - Volume: 223.48 Å³ per cell
! - SG: R3m, No. 160
! - Mass density: 6.79 g cm⁻³
&SYSTEM
  ibrav = 0, nat = 12, ntyp = 3
/
ATOMIC_SPECIES
V 50.94 V.upf
Te 127.60 Te.upf
As 74.92 As.upf
ATOMIC_POSITIONS crystal
V 0.000 0.000 0.000
V 0.000 0.000 0.192
V 0.333 0.667 0.667
V 0.333 0.667 0.859
V 0.667 0.333 0.333
V 0.667 0.333 0.526
Te 0.000 0.000 0.432
Te 0.333 0.667 0.099
Te 0.667 0.333 0.765
As 0.000 0.000 0.599
As 0.333 0.667 0.266
As 0.667 0.333 0.932
CELL_PARAMETERS angstrom
3.699 0.000 0.000
-1.849 3.203 0.000
0.000 0.000 18.864

=====

Entry 2:
! ZnFeCoH PBE optimized geometry; values from VASP
! - E_tot: -40.53 eV per cell
! - Volume: 75.69 Å³ per cell
! - SG: Cm, No. 8
! - Mass density: 7.95 g cm⁻³
&SYSTEM
  ibrav = 0, nat = 8, ntyp = 4
/
ATOMIC_SPECIES
Zn 65.41 Zn.upf
Fe 55.84 Fe.upf
Co 58.93 Co.upf
H 1.01 H.upf
ATOMIC_POSITIONS crystal
Zn 0.000 0.000 0.000
Zn 0.500 0.500 0.000
Fe 0.053 0.500 0.660
Fe 0.553 0.000 0.660
Co 0.276 0.500 0.332
Co 0.776 0.000 0.332
H 0.161 0.000 0.487
H 0.661 0.500 0.487
CELL_PARAMETERS angstrom
4.572 0.000 0.000
0.000 2.645 0.000
-1.543 0.000 6.260

=====

Entry 3:
! Nd6Y8Sc PBE optimized geometry; values from VASP
! - E_tot: -83.97 eV per cell
! - Volume: 494.38 Å³ per cell
! - SG: R-3, No. 148
! - Mass density: 5.45 g cm⁻³
! - ΔH_f (0 K): 179 meV per atom
&SYSTEM
  ibrav = 0, nat = 15, ntyp = 3
/
ATOMIC_SPECIES
Nd 144.24 Nd.upf
Y 88.91 Y.upf
Sc 44.96 Sc.upf
ATOMIC_POSITIONS crystal
Nd 0.075 0.617 0.279
Nd 0.279 0.075 0.617
Nd 0.383 0.721 0.925
Nd 0.617 0.279 0.075
Nd 0.721 0.925 0.383
Nd 0.925 0.383 0.721
Y 0.073 0.768 0.649
Y 0.232 0.351 0.927
Y 0.351 0.927 0.232
Y 0.413 0.413 0.413
Y 0.587 0.587 0.587
Y 0.649 0.073 0.768
Y 0.768 0.649 0.073
Y 0.927 0.232 0.351
Sc 0.000 0.000 0.000
CELL_PARAMETERS angstrom
4.905 2.832 5.931
-4.905 2.832 5.931
0.000 -5.664 5.931

=====

Entry 4:
! LiClF PBE optimized geometry; values from VASP
! - Formation energy from raw total energies: -34.60 kcal/mol of atoms
! - E_tot: -20.27 eV per cell
! - Volume: 92.36 Å³ per cell
! - SG: P-1, No. 2
! - Mass density: 2.21 g cm⁻³
&SYSTEM
  ibrav = 0, nat = 6, ntyp = 3
/
ATOMIC_SPECIES
Li 6.94 Li.upf
Cl 35.45 Cl.upf
F 19.00 F.upf
ATOMIC_POSITIONS crystal
Li 0.249 0.108 0.289
Li 0.751 0.892 0.711
Cl 0.251 0.365 0.767
Cl 0.749 0.635 0.233
F 0.251 0.899 0.700
F 0.749 0.101 0.300
CELL_PARAMETERS angstrom
3.930 0.000 0.000
1.424 4.502 0.000
0.709 2.230 5.220

=====

Entry 5:
! SrAs2PdBr PBE optimized geometry; values from VASP
! - Formation energy from raw total energies: 17.78 kcal/mol of atoms
! - E_tot: -13.99 eV per cell
! - Volume: 197.06 Å³ per cell
! - SG: P4/mmm, No. 123
! - Mass density: 3.57 g cm⁻³
&SYSTEM
  ibrav = 0, nat = 5, ntyp = 4
/
ATOMIC_SPECIES
Sr 87.62 Sr.upf
As 74.92 As.upf
Pd 106.42 Pd.upf
Br 79.90 Br.upf
ATOMIC_POSITIONS crystal
Sr 0.000 0.000 0.000
As 0.000 0.500 0.000
As 0.500 0.000 0.000
Pd 0.500 0.500 0.500
Br 0.000 0.000 0.500
CELL_PARAMETERS angstrom
5.889 0.000 0.000
0.000 5.889 0.000
0.000 0.000 5.683

=====

Entry 6:
! GdTlAgBi PBE optimized geometry; values from VASP
! - E_tot: -95.73 eV per cell
! - Volume: 446.47 Å³ per cell
! - SG: F-43m, No. 216
! - Mass density: 10.09 g cm⁻³
! - ΔH_f (0 K): -188 meV per atom
&SYSTEM
  ibrav = 0, nat = 16, ntyp = 4
/
ATOMIC_SPECIES
Gd 157.25 Gd.upf
Tl 204.38 Tl.upf
Ag 107.87 Ag.upf
Bi 208.98 Bi.upf
ATOMIC_POSITIONS crystal
Gd 0.000 0.000 0.000
Gd 0.000 0.500 0.500
Gd 0.500 0.000 0.500
Gd 0.500 0.500 0.000
Tl 0.000 0.000 0.500
Tl 0.000 0.500 0.000
Tl 0.500 0.000 0.000
Tl 0.500 0.500 0.500
Ag 0.250 0.250 0.750
Ag 0.250 0.750 0.250
Ag 0.750 0.250 0.250
Ag 0.750 0.750 0.750
Bi 0.250 0.250 0.250
Bi 0.250 0.750 0.750
Bi 0.750 0.250 0.750
Bi 0.750 0.750 0.250
CELL_PARAMETERS angstrom
7.643 0.000 0.000
0.000 7.643 0.000
0.000 0.000 7.643